Entry from Alexandria: a relaxed structure of NaMn2CuO4 (PBE+U).

Its total energy is -6.2692 eV/atom.

The space group is I-42m (No. 121) and the conventional cell measures 4.8563, 4.8563 and 9.0878 Å, with angles of 90.00, 90.00 and 90.00 degrees. The distinct sites, in fractional coordinates, are Na at (0.0000, 0.0000, 0.0000), Mn at (0.0000, 0.5000, 0.2500), Cu at (0.0000, 0.0000, 0.5000) and O at (0.2193, 0.2193, 0.3604).